This record from the Alexandria database describes an optimized crystal structure of KRbVTe2. The functional is PBE-GGA.

extended XYZ file:
```
5
Lattice="6.515 0.000 0.000 0.000 6.515 0.000 0.000 0.000 5.444" Properties=species:S:1:pos:R:3 pbc="T T T"
K 0.000 0.000 0.000
Rb 3.258 3.258 2.722
V 3.258 3.258 0.000
Te 0.000 3.258 2.722
Te 3.258 0.000 2.722
```

## Properties
E_tot: -13.78 eV/cell
Theoretical density: 3.095 Mg/m³
Space-group type: P4/mmm, No. 123
Volume: 46.222 Å³ per atom
Energy relative to the elements, uncorrected: 737 meV per atom